Be2B3Mo2 after structural relaxation. Source: the Alexandria database, functional PBE.

Lattice parameters (Å, degrees): 3.1051 3.1731 6.8858 103.36 90.00 90.00
Atoms (fractional coordinates):
Mo 0.5000 0.8443 0.6901
Mo 0.5000 0.1557 0.3099
B 0.0000 0.0000 0.0000
B 0.0000 0.2836 0.5679
B 0.0000 0.7164 0.4321
Be 0.0000 0.5731 0.1462
Be 0.0000 0.4269 0.8538

Output
V, Å³ per atom: 9.43
DFT formation energy, eV per atom: -0.199
Total energy, eV per cell: -50.54
Magnetization, μB per formula unit: 0.00


Be3BMo after structural relaxation. Source: the Alexandria database, functional PBE.

Lattice parameters (Å, degrees): 3.1077 3.2130 9.1391 79.81 80.21 90.00
Atoms (fractional coordinates):
Mo 0.4129 0.6629 0.1742
Mo 0.5871 0.3371 0.8258
Be 0.7018 0.9519 0.5964
Be 0.0300 0.7803 0.9400
Be 0.9700 0.2197 0.0600
Be 0.2010 0.4515 0.5980
Be 0.2982 0.0481 0.4036
Be 0.7990 0.5485 0.4020
B 0.1350 0.8849 0.7299
B 0.8650 0.1151 0.2701

Output
Relative energy among the computed polymorphs, eV per atom: 0.000
V, Å³ per atom: 8.85
DFT formation energy, eV per atom: -0.211
Total energy, eV per cell: -59.49
Magnetization, μB per formula unit: 0.00


Be2B2Mo after structural relaxation. Source: the Alexandria database, functional PBE.

Lattice parameters (Å, degrees): 3.0900 4.8500 5.8866 90.00 90.00 108.58
Atoms (fractional coordinates):
Be 0.1278 0.2556 0.2061
Be 0.6898 0.3795 0.4548
Be 0.3102 0.6205 0.9548
Be 0.8722 0.7444 0.7061
Mo 0.5868 0.1736 0.8517
Mo 0.4132 0.8264 0.3517
B 0.2339 0.4679 0.6443
B 0.7661 0.5321 0.1443
B 0.0600 0.1200 0.5476
B 0.9400 0.8800 0.0476

Output
V, Å³ per atom: 8.36
DFT formation energy, eV per atom: -0.270
Total energy, eV per cell: -65.98
Magnetization, μB per formula unit: 0.00


BeB3Mo after structural relaxation. Source: the Alexandria database, functional PBE.

Lattice parameters (Å, degrees): 3.1417 4.9248 6.1940 90.00 90.00 108.53
Atoms (fractional coordinates):
Mo 0.0111 0.0239 0.7500
Mo 0.9889 0.9761 0.2500
Be 0.7170 0.4338 0.7500
Be 0.2830 0.5662 0.2500
B 0.5933 0.1857 0.4923
B 0.4067 0.8143 0.5077
B 0.3241 0.6483 0.7500
B 0.4067 0.8143 0.9923
B 0.6759 0.3517 0.2500
B 0.5933 0.1857 0.0077

Output
Relative energy among the computed polymorphs, eV per atom: 0.000
V, Å³ per atom: 9.09
DFT formation energy, eV per atom: 0.059
Total energy, eV per cell: -68.59
Magnetization, μB per formula unit: 0.00


BeBMo2 after structural relaxation. Source: the Alexandria database, functional PBE.

Lattice parameters (Å, degrees): 3.1803 3.1803 5.6775 73.74 73.74 60.00
Atoms (fractional coordinates):
Mo 0.2425 0.2425 0.2726
Mo 0.7575 0.7575 0.7274
B 0.5000 0.5000 0.5000
Be 0.0000 0.0000 0.0000

Output
Relative energy among the computed polymorphs, eV per atom: 0.356
V, Å³ per atom: 11.76
DFT formation energy, eV per atom: -0.076
Total energy, eV per cell: -32.37
Magnetization, μB per formula unit: 0.00


BeBMo2 after structural relaxation. Source: the Alexandria database, functional PBE.

Lattice parameters (Å, degrees): 4.0026 4.0026 4.0026 60.00 60.00 60.00
Atoms (fractional coordinates):
Mo 0.2500 0.2500 0.2500
Mo 0.7500 0.7500 0.7500
Be 0.0000 0.0000 0.0000
B 0.5000 0.5000 0.5000

Output
Relative energy among the computed polymorphs, eV per atom: 0.647
V, Å³ per atom: 11.34
DFT formation energy, eV per atom: 0.215
Total energy, eV per cell: -31.21
Magnetization, μB per formula unit: 0.00


BeBMo2 after structural relaxation. Source: the Alexandria database, functional PBE.

Lattice parameters (Å, degrees): 3.1864 3.1786 4.6075 110.18 90.00 90.00
Atoms (fractional coordinates):
Mo 0.0000 0.9760 0.9519
Mo 0.5000 0.2721 0.5441
Be 0.5000 0.5614 0.1229
B 0.0000 0.6898 0.3796

Output
Relative energy among the computed polymorphs, eV per atom: 0.002
V, Å³ per atom: 10.95
DFT formation energy, eV per atom: -0.429
Total energy, eV per cell: -33.78
Magnetization, μB per formula unit: 0.00


BeBMo2 after structural relaxation. Source: the Alexandria database, functional PBE.

Lattice parameters (Å, degrees): 6.0723 6.0723 5.0290 52.86 52.86 90.00
Atoms (fractional coordinates):
Mo 0.8750 0.8947 0.7500
Mo 0.3750 0.3553 0.7500
Mo 0.1053 0.6250 0.2500
Mo 0.6447 0.1250 0.2500
Be 0.5000 0.5000 0.0000
Be 0.2500 0.7500 0.5000
B 0.7500 0.2500 0.5000
B 0.0000 0.0000 0.0000

Output
Relative energy among the computed polymorphs, eV per atom: 0.631
V, Å³ per atom: 12.07
DFT formation energy, eV per atom: 0.199
Total energy, eV per cell: -62.54
Magnetization, μB per formula unit: 0.00